# CaIn3Hg4Pb2 PBE relaxed
data_CaIn3Hg4Pb2
_chemical_formula_sum 'Ca1 In3 Hg4 Pb2'
_cell_length_a 4.5213
_cell_length_b 4.5213
_cell_length_c 14.1276
_cell_angle_alpha 90.00
_cell_angle_beta 90.00
_cell_angle_gamma 90.00
_space_group_name_H-M_alt 'P -4 m 2'
_space_group_IT_number 115
loop_
_space_group_symop_operation_xyz
'x,y,z'
'y,-x,-z'
'-x,-y,z'
'-y,x,-z'
'-x,y,z'
'-y,-x,-z'
'x,-y,z'
'y,x,-z'
loop_
_atom_site_label
_atom_site_type_symbol
_atom_site_fract_x
_atom_site_fract_y
_atom_site_fract_z
Ca1 Ca 0.0000 0.0000 0.0000
In1 In 0.0000 0.5000 0.3522
In2 In 0.5000 0.5000 0.0000
Hg1 Hg 0.0000 0.0000 0.5000
Hg2 Hg 0.0000 0.5000 0.1496
Hg3 Hg 0.5000 0.5000 0.5000
Pb1 Pb 0.0000 0.5000 0.7728
# DFT formation energy: -27 meV/atom

# NaSm2Th3Te6 PBE relaxed
data_NaSm2Th3Te6
_chemical_formula_sum 'Na2 Sm4 Th6 Te12'
_cell_length_a 19.8804
_cell_length_b 4.3217
_cell_length_c 9.2131
_cell_angle_alpha 90.00
_cell_angle_beta 108.29
_cell_angle_gamma 90.00
_space_group_name_H-M_alt 'C 1 2/m 1'
_space_group_IT_number 12
loop_
_space_group_symop_operation_xyz
'x,y,z'
'-x,-y,-z'
'-x,y,-z'
'x,-y,z'
'x+1/2,y+1/2,z'
'-x+1/2,-y+1/2,-z'
'-x+1/2,y+1/2,-z'
'x+1/2,-y+1/2,z'
loop_
_atom_site_label
_atom_site_type_symbol
_atom_site_fract_x
_atom_site_fract_y
_atom_site_fract_z
Na1 Na 0.0000 0.0000 0.0000
Sm1 Sm 0.1703 0.5000 0.3381
Th1 Th 0.0000 0.0000 0.5000
Th2 Th 0.1700 0.5000 0.8365
Te1 Te 0.0008 0.5000 0.2454
Te2 Te 0.1612 0.0000 0.0846
Te3 Te 0.1664 0.0000 0.5804
# raw formation energy: -1.161 eV per atom

# SbTe2O8 PBE relaxed
data_SbTe2O8
_chemical_formula_sum 'Sb2 Te4 O16'
_cell_length_a 5.2488
_cell_length_b 5.2488
_cell_length_c 10.0143
_cell_angle_alpha 90.00
_cell_angle_beta 90.00
_cell_angle_gamma 90.00
_space_group_name_H-M_alt 'I 4 2 2'
_space_group_IT_number 97
_space_group_name_Hall 'I 4 2'
loop_
_atom_site_label
_atom_site_type_symbol
_atom_site_fract_x
_atom_site_fract_y
_atom_site_fract_z
Sb1 Sb 0.0000 0.0000 0.0000
Te1 Te 0.0000 0.5000 0.2500
O1 O 0.1890 0.2773 0.8747
# raw formation energy: -0.593 eV per atom
# energy above the lowest structure with this stoichiometry: 79 meV/atom

> Which formula does entry 2 have?

NaSm2Th3Te6